An optimized crystal structure of Li2TiCo2O6, computed with PBE with a Hubbard U.

Cell: 5.013 5.013 10.177 Å, 90.00 90.00 116.47°
Site moments in Bohr magnetons follow the coordinates.
Fractional coordinates of all 22 atoms:
Li: 0.118 0.618 0.750  0.00
Li: 0.382 0.882 0.250  0.00
Li: 0.618 0.118 0.750  0.00
Li: 0.882 0.382 0.250  0.00
Ti: 0.000 0.000 0.000  0.02
Ti: 0.500 0.500 0.500  0.02
Co: 0.335 0.665 0.000  1.92
Co: 0.835 0.165 0.500  1.92
Co: 0.165 0.835 0.500  1.92
Co: 0.665 0.335 0.000  1.92
O: 0.162 0.162 0.594  -0.03
O: 0.338 0.338 0.094  -0.03
O: 0.662 0.662 0.906  -0.03
O: 0.960 0.305 0.890  0.04
O: 0.838 0.838 0.406  -0.03
O: 0.195 0.540 0.390  0.04
O: 0.460 0.805 0.610  0.04
O: 0.695 0.040 0.110  0.04
O: 0.040 0.695 0.110  0.04
O: 0.305 0.960 0.890  0.04
O: 0.540 0.195 0.390  0.04
O: 0.805 0.460 0.610  0.04

Results
SG = Cmce (64)
Magnetic moment = 8.08 Bohr magnetons per cell
VASP energy = -6.472 eV per atom
Crystal system = orthorhombic